# Tl5SbS4F2 | the Alexandria database | PBE-GGA | relaxed
# symmetry: Amm2, No. 38
# total magnetic moment: 0.00 μB per formula unit
data_Tl5SbS4F2
_chemical_formula_sum 'Tl5 Sb1 S4 F2'
_cell_length_a 8.386
_cell_length_b 6.856
_cell_length_c 6.856
_cell_angle_alpha 111.79
_cell_angle_beta 90.00
_cell_angle_gamma 90.00
_space_group_name_H-M_alt 'P 1'
_space_group_IT_number 1
loop_
_space_group_symop_operation_xyz
'x,y,z'
loop_
_atom_site_label
_atom_site_fract_x
_atom_site_fract_y
_atom_site_fract_z
Tl1 0.000 0.000 0.000
Tl2 0.226 0.421 0.795
Tl3 0.226 0.795 0.421
Tl4 0.774 0.421 0.795
Tl5 0.774 0.795 0.421
Sb1 0.500 0.116 0.116
S1 0.265 0.286 0.286
S2 0.500 0.108 0.767
S3 0.500 0.767 0.108
S4 0.735 0.286 0.286
F1 0.000 0.147 0.691
F2 0.000 0.691 0.147

# CsTl4Cd3Cl12 | the Alexandria database | PBE-GGA | relaxed
# D(E_F): 1.281 states/eV per atom
# symmetry: Im-3m, No. 229
# total magnetic moment: 0.00 μB per formula unit
data_CsTl4Cd3Cl12
_chemical_formula_sum 'Cs1 Tl4 Cd3 Cl12'
_cell_length_a 9.515
_cell_length_b 9.515
_cell_length_c 9.515
_cell_angle_alpha 109.47
_cell_angle_beta 109.47
_cell_angle_gamma 109.47
_space_group_name_H-M_alt 'P 1'
_space_group_IT_number 1
loop_
_space_group_symop_operation_xyz
'x,y,z'
loop_
_atom_site_label
_atom_site_fract_x
_atom_site_fract_y
_atom_site_fract_z
Cs1 0.000 0.000 0.000
Tl1 0.000 0.000 0.500
Tl2 0.000 0.500 0.000
Tl3 0.500 0.000 0.000
Tl4 0.500 0.500 0.500
Cd1 0.000 0.500 0.500
Cd2 0.500 0.000 0.500
Cd3 0.500 0.500 0.000
Cl1 0.000 0.278 0.278
Cl2 0.000 0.722 0.722
Cl3 0.250 0.500 0.750
Cl4 0.250 0.750 0.500
Cl5 0.278 0.000 0.278
Cl6 0.278 0.278 0.000
Cl7 0.500 0.250 0.750
Cl8 0.500 0.750 0.250
Cl9 0.722 0.000 0.722
Cl10 0.722 0.722 0.000
Cl11 0.750 0.250 0.500
Cl12 0.750 0.500 0.250

Ordered energy relative to the elements, uncorrected results: -759, -964; unit meV/atom.